Entry 1:
A plane-wave DFT calculation with GGA-PBE was carried out for a relaxed structure of YSbAu2Cl.

Calculated values
As for the crystal system: tetragonal. The calculation puts the total moment at 0.44 μB per formula unit. Its total DFT energy (no corrections) is -17.1 eV/cell. Its formation energy (no corrections) is 8.8 kcal/mol of atoms.

```
data_YSbAu2Cl
_cell_length_a 5.4079
_cell_length_b 5.4079
_cell_length_c 6.1860
_cell_angle_alpha 90.00
_cell_angle_beta 90.00
_cell_angle_gamma 90.00
_symmetry_space_group_name_H-M 'P 4/m m m'
_symmetry_Int_Tables_number 123
_symmetry_space_group_name_Hall '-P 4 2'
loop_
_atom_site_label
_atom_site_type_symbol
_atom_site_fract_x
_atom_site_fract_y
_atom_site_fract_z
Y1 Y 0.0000 0.0000 0.0000
Sb1 Sb 0.0000 0.0000 0.5000
Au1 Au 0.0000 0.5000 0.0000
Cl1 Cl 0.5000 0.5000 0.5000
```

---

Entry 2:
A plane-wave DFT calculation with GGA-PBE was carried out for a relaxed structure of ZnSnPS2.

Calculated values
As for the crystal system: tetragonal. The calculation puts the total moment at 0.00 μB per formula unit. Its total DFT energy (no corrections) is -16.9 eV/cell. Its formation energy (no corrections) is 9.5 kcal/mol of atoms. Its energy above the lowest structure with this stoichiometry is 11.0 meV per atom.

```
data_ZnSnPS2
_cell_length_a 4.5408
_cell_length_b 4.5408
_cell_length_c 5.3705
_cell_angle_alpha 90.00
_cell_angle_beta 90.00
_cell_angle_gamma 90.00
_symmetry_space_group_name_H-M 'P 4/m m m'
_symmetry_Int_Tables_number 123
_symmetry_space_group_name_Hall '-P 4 2'
loop_
_atom_site_label
_atom_site_type_symbol
_atom_site_fract_x
_atom_site_fract_y
_atom_site_fract_z
Zn1 Zn 0.0000 0.0000 0.0000
Sn1 Sn 0.5000 0.5000 0.0000
P1 P 0.5000 0.5000 0.5000
S1 S 0.0000 0.5000 0.5000
```

---

Entry 3:
A plane-wave DFT calculation with GGA-PBE was carried out for a relaxed structure of Pu3Pt5O12.

Calculated values
As for the crystal system: cubic. The calculation puts the total moment at 7.96 μB per formula unit. Its total DFT energy (no corrections) is -1251.3 eV/cell. Its formation energy (no corrections) is -27.3 kcal/mol of atoms.

```
data_Pu3Pt5O12
_cell_length_a 12.8738
_cell_length_b 12.8738
_cell_length_c 12.8738
_cell_angle_alpha 90.00
_cell_angle_beta 90.00
_cell_angle_gamma 90.00
_symmetry_space_group_name_H-M 'I a -3 d'
_symmetry_Int_Tables_number 230
_symmetry_space_group_name_Hall '-I 4bd 2c 3'
loop_
_atom_site_label
_atom_site_type_symbol
_atom_site_fract_x
_atom_site_fract_y
_atom_site_fract_z
Pu1 Pu 0.0000 0.2500 0.1250
Pt1 Pt 0.0000 0.0000 0.0000
Pt2 Pt 0.0000 0.2500 0.3750
O1 O 0.0165 0.0665 0.6456
```

---

Entry 4:
A plane-wave DFT calculation with GGA-PBE was carried out for a relaxed structure of ErBe2Au8.

Calculated values
As for the crystal system: monoclinic. The calculation puts the total moment at 0.00 μB per formula unit. Its total DFT energy (no corrections) is -82.8 eV/cell. The value obtained for the formation enthalpy at 0 K is -287 meV per atom.

```
data_ErBe2Au8
_cell_length_a 7.9542
_cell_length_b 11.3812
_cell_length_c 4.4455
_cell_angle_alpha 90.00
_cell_angle_beta 107.53
_cell_angle_gamma 90.00
_symmetry_space_group_name_H-M 'C 1 2/m 1'
_symmetry_Int_Tables_number 12
loop_
_symmetry_equiv_pos_as_xyz
'x,y,z'
'-x,-y,-z'
'-x,y,-z'
'x,-y,z'
'x+1/2,y+1/2,z'
'-x+1/2,-y+1/2,-z'
'-x+1/2,y+1/2,-z'
'x+1/2,-y+1/2,z'
loop_
_atom_site_label
_atom_site_type_symbol
_atom_site_fract_x
_atom_site_fract_y
_atom_site_fract_z
Er1 Er 0.0000 0.0000 0.0000
Be1 Be 0.0000 0.3235 0.5000
Au1 Au 0.0000 0.2558 0.0000
Au2 Au 0.1182 0.5000 0.8151
Au3 Au 0.1926 0.1343 0.5916
```

---

Entry 5:
A plane-wave DFT calculation with GGA-PBE was carried out for a relaxed structure of MgSbTe2O.

Calculated values
As for the crystal system: tetragonal. The calculation puts the total moment at 0.01 μB per formula unit. Its total DFT energy (no corrections) is -12.6 eV/cell. Its formation energy (no corrections) is 20.0 kcal/mol of atoms. Its energy above the lowest structure with this stoichiometry is 921.7 meV per atom.

```
data_MgSbTe2O
_cell_length_a 5.2658
_cell_length_b 5.2658
_cell_length_c 5.4287
_cell_angle_alpha 90.00
_cell_angle_beta 90.00
_cell_angle_gamma 90.00
_symmetry_space_group_name_H-M 'P 4/m m m'
_symmetry_Int_Tables_number 123
_symmetry_space_group_name_Hall '-P 4 2'
loop_
_atom_site_label
_atom_site_type_symbol
_atom_site_fract_x
_atom_site_fract_y
_atom_site_fract_z
Mg1 Mg 0.0000 0.0000 0.0000
Sb1 Sb 0.0000 0.0000 0.5000
Te1 Te 0.0000 0.5000 0.0000
O1 O 0.5000 0.5000 0.5000
```

---

Entry 6:
A plane-wave DFT calculation with GGA-PBE was carried out for a relaxed structure of CsSCl2.

Calculated values
As for the crystal system: tetragonal. The calculation puts the total moment at 0.00 μB per formula unit. Its total DFT energy (no corrections) is -43.5 eV/cell. Its formation energy (no corrections) is -12.7 kcal/mol of atoms. Its energy above the lowest structure with this stoichiometry is 160.4 meV per atom.

```
data_CsSCl2
_cell_length_a 6.1003
_cell_length_b 6.1003
_cell_length_c 16.2033
_cell_angle_alpha 90.00
_cell_angle_beta 90.00
_cell_angle_gamma 90.00
_symmetry_space_group_name_H-M 'I -4 2 d'
_symmetry_Int_Tables_number 122
_symmetry_space_group_name_Hall 'I -4 2bw'
loop_
_atom_site_label
_atom_site_type_symbol
_atom_site_fract_x
_atom_site_fract_y
_atom_site_fract_z
Cs1 Cs 0.0000 0.0000 0.0000
S1 S 0.0000 0.0000 0.5000
Cl1 Cl 0.0944 0.2500 0.6250
```